1.
44
Lattice="-0.994 -4.428 -3.978 6.964 -0.918 3.490 -5.606 -7.109 9.314" Properties=species:S:1:pos:R:3 comment="Ag2Mo2O7 | Alexandria via LeMat-Bulk | GGA-PBEsol | optimized geometry" raw_formation_energy_ev_per_atom=-1.442 dft_energy_ev_per_atom=-7.5246 sg="P2_1/c (14)" crystal_system=monoclinic rho_g_cm3=6.0 pbc="T T T"
Ag 3.140 -3.261 1.089
Mo -1.235 -7.095 5.132
Mo 5.519 -0.889 2.720
Mo 1.599 -5.361 3.694
Ag 2.463 -7.425 6.561
Mo -0.462 -3.101 -0.412
Mo 1.083 -8.531 3.274
O 0.211 -11.259 8.833
Ag 4.355 -6.946 2.260
O 5.282 -2.640 1.934
O -0.972 -7.885 3.269
O -1.914 -11.299 7.027
O 1.895 -3.801 2.983
O 3.189 -5.943 4.147
O -0.526 -5.131 4.054
Ag 1.128 -6.164 0.091
O 1.818 -9.283 7.809
O -1.430 -6.831 0.762
Mo 0.826 -9.355 9.238
O -3.117 -6.978 8.693
O -3.404 -8.315 1.973
O 0.890 -7.325 4.772
O -4.918 -9.816 6.892
O 3.768 -4.141 6.853
O 1.185 -6.454 2.315
O -0.821 -6.002 6.511
O 1.091 -3.729 0.103
O -1.060 -4.426 -1.486
O 1.423 -8.030 10.312
O 1.335 -4.571 5.558
Ag -2.776 -9.195 7.737
O 2.278 -1.157 1.800
O 0.153 -1.197 -0.007
O -1.531 -8.655 5.843
Ag -3.992 -5.510 6.566
O -0.727 -8.727 8.723
O 3.480 -5.478 0.133
Ag -2.099 -5.031 2.265
Ag -0.764 -6.292 8.735
O -2.825 -6.512 4.679
O 1.794 -5.625 8.064
O -1.454 -3.173 1.017
Mo -0.719 -3.925 5.553
Mo -5.155 -11.567 6.107



2.
72
Lattice="7.233 0.000 0.051 0.000 11.037 0.000 -3.115 0.000 12.254" Properties=species:S:1:pos:R:3 comment="Ag2Mo3SeO12 | Alexandria via LeMat-Bulk | GGA-PBEsol | optimized geometry" raw_formation_energy_ev_per_atom=-1.437 dft_energy_ev_per_atom=-7.4792 sg="P2_1/c (14)" crystal_system=monoclinic rho_g_cm3=5.2 pbc="T T T"
Ag 4.574 4.745 8.365
O 2.269 10.214 0.686
O 1.982 6.485 1.089
Mo 3.362 6.432 5.413
O -0.388 6.429 10.678
O 2.271 8.486 8.499
O 0.212 8.069 2.347
O 4.328 6.341 6.839
O 2.676 4.633 5.473
Mo -1.940 6.424 11.362
Mo 6.059 4.613 0.943
O 4.506 4.608 1.626
O 4.506 2.791 4.252
Se 0.132 2.167 3.825
O 1.236 10.127 6.570
O 1.962 8.434 11.538
Mo 5.930 0.913 0.790
Mo 0.808 8.249 6.865
O -0.667 0.911 7.728
O 4.727 0.911 1.998
Ag 2.345 4.401 2.336
O 1.849 0.823 11.618
Ag -0.456 6.292 3.940
O 6.410 6.428 0.468
O 4.216 2.915 6.919
Mo -1.812 10.124 11.514
O -0.447 4.607 8.099
O -2.498 0.885 11.574
Ag 2.515 0.774 2.213
O -0.388 8.246 8.053
O 1.303 2.778 6.625
O -0.608 10.126 10.307
Mo 0.756 4.605 6.892
O 2.136 4.552 11.216
O 1.901 6.576 3.675
O 4.268 6.455 9.998
O 6.477 2.740 0.524
O 2.209 10.101 3.846
Ag 1.603 10.263 10.092
O -2.358 8.297 11.781
O -0.667 2.728 10.353
O 1.847 2.551 3.806
O 2.815 8.259 5.679
Se 3.987 8.870 8.480
Mo 0.885 0.906 7.044
Mo 3.233 10.131 5.260
O 1.442 6.404 6.832
O 2.882 0.910 5.735
Mo 5.981 8.307 0.764
Mo -1.863 2.730 11.541
Ag -0.285 9.919 3.817
O -0.098 8.122 5.386
O 4.786 10.126 4.577
O 0.077 0.966 5.063
O -0.210 4.696 5.466
O 2.218 4.461 8.630
O 2.157 2.603 0.766
Ag 1.774 6.636 9.969
Mo 3.311 2.788 5.440
O 6.616 10.152 0.731
O 1.910 0.936 8.459
O 4.786 8.309 1.951
O -2.291 4.609 11.836
O 3.907 2.968 9.958
O -0.149 4.582 2.306
Se 2.191 3.352 9.977
O 3.960 9.979 9.828
O 4.041 10.071 7.242
Ag 4.404 1.118 8.488
O 0.158 1.058 2.477
Se 1.928 7.685 2.328
O 4.565 6.430 4.205



3.
4
Lattice="-1.037 1.195 -3.593 2.737 -2.338 -1.568 -3.454 -2.332 2.365" Properties=species:S:1:pos:R:3 comment="AgMo2Os | Alexandria via LeMat-Bulk | GGA-PBEsol | optimized geometry" dft_energy_ev_per_atom=-9.3085 sg="I-4m2 (119)" formation_energy_ev_per_fu=1.8 relative_energy_ev_per_atom=0.183 crystal_system=tetragonal rho_g_cm3=13.5 pbc="T T T"
Ag 0.067 -2.621 -0.891
Os 0.850 -0.571 -2.580
Mo 0.000 0.000 0.000
Mo -1.820 -0.854 -1.904



4.
4
Lattice="-0.329 -0.148 -2.741 -0.491 -4.700 0.312 -4.280 1.986 0.407" Properties=species:S:1:pos:R:3 comment="AgMoOs2 | Alexandria via LeMat-Bulk | GGA-PBEsol | optimized geometry" dft_energy_ev_per_atom=-9.3270 sg="Cmmm (65)" formation_energy_ev_per_fu=2.2 crystal_system=orthorhombic rho_g_cm3=16.5 pbc="T T T"
Mo -2.550 -1.431 -1.011
Os -2.140 0.993 0.204
Os -0.246 -2.350 0.156
Ag -0.165 -0.074 -1.370



5.
4
Lattice="-0.519 -1.666 2.138 -0.197 -3.095 -2.460 5.437 -0.861 0.648" Properties=species:S:1:pos:R:3 comment="AgMo2Os | Alexandria via LeMat-Bulk | GGA-PBEsol | optimized geometry" dft_energy_ev_per_atom=-9.4916 sg="Pmmm (47)" formation_energy_ev_per_fu=1.1 relative_energy_ev_per_atom=0.000 crystal_system=orthorhombic rho_g_cm3=13.4 pbc="T T T"
Mo 1.243 -0.197 0.148
Mo 4.194 -0.664 0.500
Os -0.358 -2.381 -0.161
Ag 2.361 -2.811 0.163



6.
3
Lattice="2.886 0.000 0.000 0.000 2.886 0.000 -1.443 -1.443 5.620" Properties=species:S:1:pos:R:3 comment="AgMoOs | Alexandria via LeMat-Bulk | GGA-PBEsol | optimized geometry" dft_energy_ev_per_atom=-8.6895 sg="I4mm (107)" formation_energy_ev_per_fu=1.2 crystal_system=tetragonal rho_g_cm3=14.0 pbc="T T T"
Mo 1.443 1.443 2.054
Os 0.000 0.000 3.585
Ag 1.443 1.443 5.603



7.
6
Lattice="-3.347 -1.167 3.459 -1.484 -4.696 0.525 1.365 -2.596 3.990" Properties=species:S:1:pos:R:3 comment="AgMoP4 | Alexandria via LeMat-Bulk | GGA-PBEsol | optimized geometry" dft_energy_ev_per_atom=-5.7225 sg="F-43m (216)" formation_energy_ev_per_fu=3.9 crystal_system=cubic rho_g_cm3=6.3 pbc="T T T"
Ag -2.600 -6.344 5.981
P -2.987 -3.751 4.728
P -0.605 -4.473 4.997
P -1.295 -3.161 2.979
Mo 0.000 0.000 0.000
P -2.045 -5.534 3.245



8.
4
Lattice="-2.492 -1.580 -0.794 2.800 0.337 -3.579 1.483 -3.913 3.129" Properties=species:S:1:pos:R:3 comment="Ag2MoP | Alexandria via LeMat-Bulk | GGA-PBEsol | optimized geometry" dft_energy_ev_per_atom=-5.8468 sg="Cm (8)" formation_energy_ev_per_fu=0.8 crystal_system=monoclinic rho_g_cm3=8.9 pbc="T T T"
P 0.039 -2.403 -1.222
Mo 2.037 -1.991 -2.433
Ag 1.936 -3.218 0.327
Ag 1.558 -3.866 2.800



9.
4
Lattice="-2.754 0.081 1.368 -1.354 -0.632 -2.689 0.451 -6.445 1.287" Properties=species:S:1:pos:R:3 comment="Ag2MoP | Alexandria via LeMat-Bulk | GGA-PBEsol | optimized geometry" dft_energy_ev_per_atom=-5.9974 sg="P4mm (99)" formation_energy_ev_per_fu=0.2 crystal_system=tetragonal rho_g_cm3=9.1 pbc="T T T"
Ag 0.446 -6.370 1.272
Mo 0.245 -3.508 0.701
P -1.735 -4.843 0.252
Ag -1.937 -1.942 -0.328



10.
4
Lattice="4.399 0.000 0.000 2.200 3.810 0.000 2.200 1.270 3.592" Properties=species:S:1:pos:R:3 comment="Ag2MoP | Alexandria via LeMat-Bulk | GGA-PBEsol | optimized geometry" dft_energy_ev_per_atom=-5.6392 sg="F-43m (216)" formation_energy_ev_per_fu=1.6 crystal_system=cubic rho_g_cm3=9.5 pbc="T T T"
P 2.200 1.270 0.898
Ag 0.000 0.000 0.000
Ag 6.599 3.810 2.694
Mo 4.399 2.540 1.796



11.
4
Lattice="-0.812 0.645 2.955 -4.291 -0.493 -1.071 2.803 -4.515 0.097" Properties=species:S:1:pos:R:3 comment="Ag2MoP | Alexandria via LeMat-Bulk | GGA-PBEsol | optimized geometry" dft_energy_ev_per_atom=-5.6342 sg="Imm2 (44)" formation_energy_ev_per_fu=1.6 crystal_system=orthorhombic rho_g_cm3=8.9 pbc="T T T"
Ag -2.316 -4.088 1.916
Mo -2.530 -0.296 1.029
Ag -0.276 -1.976 2.015
P -2.030 -2.290 -0.058



12.
4
Lattice="-2.466 -0.420 0.986 1.670 0.044 4.197 -0.767 5.101 0.252" Properties=species:S:1:pos:R:3 comment="Ag2MoP | Alexandria via LeMat-Bulk | GGA-PBEsol | optimized geometry" dft_energy_ev_per_atom=-5.6000 sg="Pmmm (47)" formation_energy_ev_per_fu=1.8 crystal_system=orthorhombic rho_g_cm3=9.1 pbc="T T T"
Mo -0.398 -0.188 2.592
P -0.782 2.363 2.717
Ag -0.189 1.260 0.062
Ag -0.578 3.842 0.190